Record 1
4
Lattice="-2.4871 2.5279 0.3500 -3.1509 -0.7911 1.4643 2.2650 3.2236 10.9516" Properties=species:S:1:pos:R:3 comment="TbTmTh2 | Alexandria | PBE | relaxed" delta_e_f_ev_per_atom=0.03 pbc="T T T"
Th -0.8504 1.2356 3.1737
Th -2.5226 3.7249 9.5922
Tb -1.6865 2.4802 6.3830
Tm 0.0000 0.0000 0.0000



Record 2
8
Lattice="7.6494 0.0000 0.0000 0.0000 7.6494 0.0000 3.8247 3.8247 2.7984" Properties=species:S:1:pos:R:3 comment="Tl2ReRu | Alexandria | PBE | relaxed" delta_e_f_ev_per_atom=1.39 pbc="T T T"
Ru 3.8247 7.6494 1.3992
Ru 3.8247 3.8247 0.0000
Tl 5.6770 1.9123 0.6996
Tl 9.5617 9.5017 2.0988
Tl 1.9724 5.7370 0.6996
Tl 5.7370 5.7970 2.0988
Re 0.0000 0.0000 0.0000
Re 7.6494 3.8247 1.3992



Record 3
12
Lattice="-2.4726 3.7163 1.3099 -0.9569 -1.9769 4.3934 5.8945 2.9778 2.0953" Properties=species:S:1:pos:R:3 comment="Li2PmRhF8 | Alexandria | PBE | relaxed" e_form_raw_ev_per_fu=-33.506 pbc="T T T"
F -0.9035 3.3100 2.5370
F 0.4099 2.3419 4.9370
F 3.4457 4.0965 6.1543
F -0.9807 0.6207 1.6443
F 0.0440 -0.2326 4.1821
F 2.0550 2.3753 2.8616
F 2.4210 4.9499 3.6165
F 3.3685 1.4072 5.2616
Li -0.5933 1.5325 3.4450
Li 3.0582 3.1848 4.3536
Pm 2.9473 1.4889 1.0477
Rh 0.0000 0.0000 0.0000



Record 4
13
Lattice="6.6432 -0.0277 -1.0702 -0.5224 7.0993 -3.4263 -0.0082 0.2999 9.7305" Properties=species:S:1:pos:R:3 comment="Ac8Mg3Co2 | Alexandria | PBE | relaxed" delta_e_f_ev_per_atom=0.06 pbc="T T T"
Ac 4.1814 0.8974 5.7416
Ac 3.9222 4.4204 4.0413
Ac 1.9313 6.4741 -0.5077
Ac 1.1208 3.1597 6.3759
Ac 2.1905 2.9511 1.1926
Ac 5.8297 1.4557 2.1273
Ac 0.2830 5.9158 3.1066
Ac 4.9919 4.2118 -1.1420
Co 3.9923 5.3224 1.3116
Co 2.1204 2.0491 3.9223
Mg -0.4328 5.8821 -2.8389
Mg -0.0896 1.2171 -0.5874
Mg 3.3216 -0.0139 -0.5351



Record 5
5
Lattice="-4.0343 0.5914 -3.3084 0.7728 -4.8749 -1.8139 -3.2710 -1.8778 3.6531" Properties=species:S:1:pos:R:3 comment="CaCd2ReB | Alexandria | PBE | relaxed" delta_e_f_ev_per_atom=1.74 pbc="T T T"
Cd -1.6355 -0.9389 1.8265
Cd -2.0171 0.2957 -1.6542
Ca 0.3864 -2.4375 -0.9069
B -3.2662 -3.0807 -0.7346
Re 0.0000 0.0000 0.0000



Record 6
6
Lattice="-3.6017 -2.1526 -0.6912 1.6721 -1.3379 -4.5463 4.5710 -5.5592 6.0947" Properties=species:S:1:pos:R:3 comment="SrIO | Alexandria | PBE | relaxed" e_form_raw_ev_per_fu=-4.689 pbc="T T T"
O -0.3731 -4.8845 -1.4773
O 3.0312 -3.6549 2.1905
Sr 4.2222 -4.5787 0.1229
Sr 0.9643 -2.8821 -1.5747
I 2.6213 -7.3174 3.1176
I 1.1221 -4.1296 1.6280



Record 7
16
Lattice="-0.1858 -4.7352 -3.1059 5.2948 0.9702 -1.7683 1.9895 -2.9307 4.3491" Properties=species:S:1:pos:R:3 comment="Fe3Co13 | Alexandria | PBE | relaxed" delta_e_f_ev_per_atom=0.05 pbc="T T T"
Co 0.4087 -3.1013 -0.4752
Co 4.0400 -4.0861 0.8221
Co 2.1608 -4.7932 -0.6014
Co 3.9503 -6.4463 -0.7185
Co 1.2657 -0.9278 -1.2042
Co 4.9341 -1.9062 0.0754
Co 3.8489 -2.8314 -3.6687
Co 3.0463 -2.6223 -1.3502
Co 3.9270 -0.4538 -2.1022
Co 4.8366 -4.2931 -1.4884
Co 1.4072 -4.5722 1.7076
Co 2.9518 -4.9754 -2.9013
Co 2.2658 -2.3986 0.9642
Fe 1.1992 -3.2934 -2.7679
Fe 6.7810 -1.2347 1.4926
Fe 5.7858 0.2315 -0.6831



Record 8
15
Lattice="-7.9950 -2.9283 -3.3695 -4.1196 -7.3032 3.6796 -7.4825 0.8044 4.6129" Properties=species:S:1:pos:R:3 comment="LaNd6Y8 | Alexandria | PBE | relaxed" delta_e_f_ev_per_atom=0.12 pbc="T T T"
Y -10.5980 -3.7352 3.5082
Y -11.9567 -7.2453 2.3189
Y -7.6404 -2.1818 2.6042
Y -9.9538 -6.7409 5.0984
Y -12.6040 -4.2358 0.7328
Y -6.9931 -5.1913 4.1903
Y -9.6433 -2.6862 -0.1754
Y -8.9991 -5.6919 1.4148
Nd -16.3450 -8.1192 4.7276
Nd -6.2247 -3.1573 -0.3464
Nd -3.2521 -1.3079 0.1955
Nd -3.9965 -4.1036 2.2400
Nd -15.6006 -5.3235 2.6830
Nd -13.3724 -6.2698 5.2694
La 0.0000 0.0000 0.0000



Record 9
12
Lattice="4.1988 0.0000 0.0000 0.0000 8.9558 0.1175 0.0000 -2.2432 8.7519" Properties=species:S:1:pos:R:3 comment="LiThTlS3 | Alexandria | PBE | relaxed" e_form_raw_ev_per_fu=-8.440 pbc="T T T"
S 3.1491 0.5428 4.6904
S 1.0497 2.9540 7.4370
S 1.0497 -0.7500 7.6324
S 1.0497 6.1698 4.1790
S 3.1491 7.4626 1.2369
S 3.1491 3.7586 1.4323
Th 1.0497 5.6788 1.5192
Th 3.1491 1.0338 7.3502
Tl 3.1491 5.5438 6.6716
Tl 1.0497 1.1688 2.1978
Li 3.1491 7.3455 3.6895
Li 1.0497 -0.6329 5.1798



Record 10
5
Lattice="-0.7168 -3.6653 -2.4311 4.3554 -0.9345 0.1246 -0.6123 -2.3561 3.7326" Properties=species:S:1:pos:R:3 comment="Ti3PPt | Alexandria | PBE | relaxed" delta_e_f_ev_per_atom=-0.37 pbc="T T T"
Ti 2.1777 -0.4672 0.0623
Ti -0.3061 -1.1780 1.8663
Ti -0.3584 -1.8326 -1.2156
Pt 1.5131 -3.4779 0.7130
P 0.0000 0.0000 0.0000



Record 11
4
Lattice="-3.7393 0.6713 0.5061 -0.9245 -4.5118 -0.8463 0.1272 -2.4942 4.2479" Properties=species:S:1:pos:R:3 comment="Al2TeP | Alexandria | PBE | relaxed" e_form_raw_ev_per_fu=0.079 pbc="T T T"
P -2.0690 -1.4159 1.1035
Al -0.3722 -3.2684 1.5849
Al -0.0264 -0.2347 0.1159
Te -2.4676 -4.9189 2.8043



Record 12
11
Lattice="-1.9889 2.3881 4.4351 -7.5205 -5.3692 -0.4814 7.3844 -2.8023 4.8203" Properties=species:S:1:pos:R:3 comment="Er5Tm3Sc3 | Alexandria | PBE | relaxed" delta_e_f_ev_per_atom=0.80 pbc="T T T"
Er -3.5466 -3.3195 3.5034
Er 4.5108 -0.8951 5.8112
Er -6.6010 -2.8088 1.8587
Er -1.0290 -0.8855 3.3217
Er 1.4217 -2.4639 5.2706
Tm 3.9555 -1.5010 2.5820
Tm -0.0632 -3.7944 2.0148
Tm -4.0284 -2.8761 -0.2579
Sc -3.8380 -0.8361 2.0355
Sc -1.0790 -3.8877 4.9159
Sc 1.7977 0.1345 4.0402